Ba3LiW | PBEsol | relaxed

POSCAR file:
```
Ba3LiW
1.0
5.902 0.000 0.000
0.000 5.902 0.000
0.000 0.000 5.902
Li Ba W
1 3 1
direct
0.000 0.000 0.000
0.000 0.500 0.000
0.000 0.000 0.500
0.500 0.000 0.000
0.500 0.500 0.500
```

**Density of states at the Fermi level**: 5.9 states/eV/f.u.
**Energy of formation from the pure elements**: 1.44 eV per atom
**VASP energy**: -3.000 eV per atom
**Volume**: 205.57 Å³/f.u.


Zr2IrPb | PBEsol | relaxed

POSCAR file:
```
Zr2IrPb
1.0
-1.479 -1.662 -2.136
2.627 -1.465 -0.680
-1.758 -5.819 5.745
Zr Pb Ir
2 1 1
direct
0.000 0.000 0.785
0.000 0.000 0.215
0.500 0.500 0.500
0.500 0.500 0.000
```

**Density of states at the Fermi level**: 2.8 states/eV/f.u.
**Energy of formation from the pure elements**: -0.50 eV per atom
**VASP energy**: -8.497 eV per atom
**Volume**: 79.55 Å³/f.u.


La3AlTe | PBEsol | relaxed

POSCAR file:
```
La3AlTe
1.0
-0.627 3.652 -4.249
-5.589 -0.707 0.217
-0.393 4.236 3.699
La Al Te
3 1 1
direct
0.000 0.500 0.000
0.500 0.000 0.000
0.000 0.000 0.500
0.000 0.000 0.000
0.500 0.500 0.500
```

**Density of states at the Fermi level**: 5.4 states/eV/f.u.
**VASP energy**: -4.842 eV per atom
**Formation energy without anion corrections**: -0.55 eV/f.u.
**Volume**: 179.15 Å³/f.u.